VASP calculation (PBE) on a geometry-optimized La6CN4 structure.

abc: 6.417 6.417 19.080
angles: 90.00 90.00 146.16
Atoms (fractional coordinates):
La  0.000  0.000  0.000
La  0.000  0.000  0.500
La  0.184  0.816  0.750
La  0.279  0.721  0.079
La  0.279  0.721  0.421
La  0.450  0.550  0.660
La  0.450  0.550  0.840
La  0.550  0.450  0.160
La  0.550  0.450  0.340
La  0.721  0.279  0.579
La  0.721  0.279  0.921
La  0.816  0.184  0.250
C  0.175  0.825  0.250
C  0.825  0.175  0.750
N  0.082  0.918  0.629
N  0.082  0.918  0.871
N  0.360  0.640  0.544
N  0.360  0.640  0.956
N  0.640  0.360  0.044
N  0.640  0.360  0.456
N  0.918  0.082  0.129
N  0.918  0.082  0.371

Properties
The value obtained for the uncorrected formation energy is -0.96 eV/atom.


VASP calculation (PBE) on a geometry-optimized Cd4AgB2 structure.

abc: 6.832 6.832 6.832
angles: 133.95 133.95 67.17
Atoms (fractional coordinates):
Cd  0.000  0.500  0.500
Cd  0.236  0.236  0.000
Cd  0.500  0.000  0.500
Cd  0.764  0.764  0.000
Ag  0.000  0.000  0.000
B  0.431  0.431  0.000
B  0.569  0.569  0.000

Properties
As for the calculated formation energy: 681 meV/atom.